(1)
## AgMo3F (GGA+U)

Data for AgMo3F after structural relaxation.

Properties
The distance to the lowest polymorph of the same formula comes out at 289.7 meV/atom.

Structure (POSCAR):
```
AgMo3F
1.0
5.470 0.000 0.000
0.000 5.470 0.000
0.000 0.000 5.470
Ag Mo F
1 3 1
Direct
0.000 0.000 0.000 Ag
0.000 0.000 0.500 Mo
0.000 0.500 0.000 Mo
0.500 0.000 0.000 Mo
0.500 0.500 0.500 F
```

(2)
## AgMoF6 (GGA+U)

Data for AgMoF6 after structural relaxation.

Properties
The distance to the lowest polymorph of the same formula comes out at 0.0 meV/atom.

Structure (POSCAR):
```
AgMoF6
1.0
7.558 0.000 0.000
0.000 6.620 0.000
-1.748 0.000 5.107
Ag Mo F
2 2 12
Direct
0.000 0.000 0.000 Ag
0.500 0.500 0.000 Ag
0.000 0.500 0.500 Mo
0.500 0.000 0.500 Mo
0.066 0.294 0.772 F
0.066 0.706 0.772 F
0.249 0.500 0.493 F
0.251 0.000 0.507 F
0.434 0.206 0.228 F
0.434 0.794 0.228 F
0.566 0.206 0.772 F
0.566 0.794 0.772 F
0.749 0.000 0.493 F
0.751 0.500 0.507 F
0.934 0.294 0.228 F
0.934 0.706 0.228 F
```

(3)
## AgMoN2F (GGA+U)

Data for AgMoN2F after structural relaxation.

Properties
The distance to the lowest polymorph of the same formula comes out at 0.0 meV/atom.

Structure (POSCAR):
```
AgMoN2F
1.0
3.968 0.000 0.000
0.000 3.968 0.000
0.000 0.000 4.173
Ag Mo N F
1 1 2 1
Direct
0.000 0.000 0.000 Ag
0.500 0.500 0.500 Mo
0.000 0.500 0.500 N
0.500 0.000 0.500 N
0.500 0.500 0.000 F
```

(4)
## AgMoN2F (GGA+U)

Data for AgMoN2F after structural relaxation.

Properties
The distance to the lowest polymorph of the same formula comes out at 1119.3 meV/atom.

Structure (POSCAR):
```
AgMoN2F
1.0
4.116 0.000 0.000
0.000 4.116 0.000
0.000 0.000 4.136
Ag Mo N F
1 1 2 1
Direct
0.000 0.000 0.000 Ag
0.500 0.500 0.500 Mo
0.000 0.500 0.000 N
0.500 0.000 0.000 N
0.000 0.000 0.500 F
```

(5)
## NaAgMoF6 (GGA+U)

Data for NaAgMoF6 after structural relaxation.

Properties
The raw total energy is -86.01 eV/cell.

Structure (POSCAR):
```
NaAgMoF6
1.0
5.821 0.000 0.000
-2.910 5.041 0.000
0.000 0.000 9.928
Na Ag Mo F
2 2 2 12
Direct
0.333 0.667 0.250 Na
0.667 0.333 0.750 Na
0.000 0.000 0.000 Ag
0.000 0.000 0.500 Ag
0.333 0.667 0.750 Mo
0.667 0.333 0.250 Mo
0.044 0.385 0.637 F
0.044 0.659 0.863 F
0.341 0.385 0.863 F
0.341 0.956 0.637 F
0.385 0.044 0.137 F
0.385 0.341 0.363 F
0.615 0.659 0.637 F
0.615 0.956 0.863 F
0.659 0.044 0.363 F
0.659 0.615 0.137 F
0.956 0.341 0.137 F
0.956 0.615 0.363 F
```

(6)
## NaAg2MoF6 (GGA+U)

Data for NaAg2MoF6 after structural relaxation.

Properties
The raw total energy is -90.81 eV/cell.

Structure (POSCAR):
```
NaAg2MoF6
1.0
5.910 0.000 0.000
0.000 6.024 0.000
-5.824 0.000 8.438
Na Ag Mo F
2 4 2 12
Direct
0.000 0.000 0.000 Na
0.000 0.500 0.500 Na
0.230 0.051 0.747 Ag
0.230 0.449 0.247 Ag
0.770 0.551 0.753 Ag
0.770 0.949 0.253 Ag
0.500 0.000 0.500 Mo
0.500 0.500 0.000 Mo
0.159 0.189 0.448 F
0.159 0.311 0.948 F
0.248 0.716 0.432 F
0.248 0.784 0.932 F
0.377 0.052 0.264 F
0.377 0.448 0.764 F
0.623 0.552 0.236 F
0.623 0.948 0.736 F
0.752 0.216 0.068 F
0.752 0.284 0.568 F
0.841 0.689 0.052 F
0.841 0.811 0.552 F
```

(7)
## NaAg2MoF (GGA+U)

Data for NaAg2MoF after structural relaxation.

Properties
The raw total energy is -12.69 eV/cell.

Structure (POSCAR):
```
NaAg2MoF
1.0
5.375 0.000 0.000
0.000 5.375 0.000
0.000 0.000 6.745
Na Ag Mo F
1 2 1 1
Direct
0.000 0.000 0.000 Na
0.000 0.500 0.500 Ag
0.500 0.000 0.500 Ag
0.000 0.000 0.500 Mo
0.500 0.500 0.000 F
```

(8)
## Na2AgMoF6 (GGA+U)

Data for Na2AgMoF6 after structural relaxation.

Properties
The distance to the lowest polymorph of the same formula comes out at 168.7 meV/atom.

Structure (POSCAR):
```
Na2AgMoF6
1.0
0.000 4.448 4.448
4.448 0.000 4.448
4.448 4.448 0.000
Na Ag Mo F
2 1 1 6
Direct
0.250 0.250 0.250 Na
0.750 0.750 0.750 Na
0.000 0.000 0.000 Ag
0.500 0.500 0.500 Mo
0.265 0.265 0.735 F
0.265 0.735 0.265 F
0.265 0.735 0.735 F
0.735 0.265 0.265 F
0.735 0.265 0.735 F
0.735 0.735 0.265 F
```

(9)
## Na2AgMoF6 (GGA+U)

Data for Na2AgMoF6 after structural relaxation.

Properties
The distance to the lowest polymorph of the same formula comes out at 0.0 meV/atom.

Structure (POSCAR):
```
Na2AgMoF6
1.0
5.823 0.000 0.000
0.000 6.013 0.000
-5.705 0.000 8.640
Na Ag Mo F
4 2 2 12
Direct
0.218 0.035 0.221 Na
0.218 0.465 0.721 Na
0.782 0.535 0.279 Na
0.782 0.965 0.779 Na
0.000 0.000 0.500 Ag
0.000 0.500 0.000 Ag
0.500 0.000 0.000 Mo
0.500 0.500 0.500 Mo
0.155 0.164 0.969 F
0.155 0.336 0.469 F
0.227 0.731 0.887 F
0.227 0.769 0.387 F
0.423 0.120 0.789 F
0.423 0.380 0.289 F
0.577 0.620 0.711 F
0.577 0.880 0.211 F
0.773 0.231 0.613 F
0.773 0.269 0.113 F
0.845 0.664 0.531 F
0.845 0.836 0.031 F
```

(10)
## Ag5MoO4F2 (GGA+U)

Data for Ag5MoO4F2 after structural relaxation.

Properties
The raw total energy is -54.13 eV/cell.

Structure (POSCAR):
```
Ag5MoO4F2
1.0
6.593 0.000 0.000
0.000 5.807 2.625
0.000 -5.807 2.625
Ag Mo O F
5 1 4 2
Direct
0.000 0.000 0.000 Ag
0.278 0.332 0.708 Ag
0.278 0.708 0.332 Ag
0.722 0.332 0.708 Ag
0.722 0.708 0.332 Ag
0.500 0.105 0.105 Mo
0.273 0.305 0.305 O
0.500 0.030 0.777 O
0.500 0.777 0.030 O
0.727 0.305 0.305 O
0.000 0.008 0.638 F
0.000 0.638 0.008 F
```

(11)
## AgMoOF2 (GGA+U)

Data for AgMoOF2 after structural relaxation.

Properties
The distance to the lowest polymorph of the same formula comes out at 966.9 meV/atom.

Structure (POSCAR):
```
AgMoOF2
1.0
4.244 0.000 0.000
0.000 4.244 0.000
0.000 0.000 4.315
Ag Mo O F
1 1 1 2
Direct
0.000 0.000 0.000 Ag
0.500 0.500 0.500 Mo
0.000 0.000 0.500 O
0.000 0.500 0.000 F
0.500 0.000 0.000 F
```

(12)
## AgMo2OF (GGA+U)

Data for AgMo2OF after structural relaxation.

Properties
The raw total energy is -20.03 eV/cell.

Structure (POSCAR):
```
AgMo2OF
1.0
4.728 0.000 0.000
0.000 4.728 0.000
0.000 0.000 4.500
Ag Mo O F
1 2 1 1
Direct
0.000 0.000 0.000 Ag
0.000 0.500 0.500 Mo
0.500 0.000 0.500 Mo
0.500 0.500 0.000 O
0.000 0.000 0.500 F
```

(13)
## AgMoO2F (GGA+U)

Data for AgMoO2F after structural relaxation.

Properties
The raw total energy is -21.86 eV/cell.

Structure (POSCAR):
```
AgMoO2F
1.0
4.150 0.000 0.000
0.000 4.150 0.000
0.000 0.000 4.130
Ag Mo O F
1 1 2 1
Direct
0.000 0.000 0.000 Ag
0.500 0.500 0.500 Mo
0.000 0.500 0.000 O
0.500 0.000 0.000 O
0.000 0.000 0.500 F
```

(14)
## Ag2MoO2F4 (GGA+U)

Data for Ag2MoO2F4 after structural relaxation.

Properties
The raw total energy is -43.28 eV/cell.

Structure (POSCAR):
```
Ag2MoO2F4
1.0
5.394 -2.832 0.000
5.394 2.832 0.000
-1.854 0.000 4.890
Ag Mo O F
2 1 2 4
Direct
0.138 0.138 0.445 Ag
0.862 0.862 0.555 Ag
0.500 0.500 0.000 Mo
0.341 0.341 0.721 O
0.659 0.659 0.279 O
0.189 0.689 0.187 F
0.311 0.811 0.813 F
0.689 0.189 0.187 F
0.811 0.311 0.813 F
```

(15)
## AgMoO2F (GGA+U)

Data for AgMoO2F after structural relaxation.

Properties
The raw total energy is -27.96 eV/cell.

Structure (POSCAR):
```
AgMoO2F
1.0
4.031 0.000 0.000
0.000 4.031 0.000
0.000 0.000 4.225
Ag Mo O F
1 1 2 1
Direct
0.000 0.000 0.000 Ag
0.500 0.500 0.500 Mo
0.000 0.500 0.500 O
0.500 0.000 0.500 O
0.500 0.500 0.000 F
```

(16)
## AgMoOF2 (GGA+U)

Data for AgMoOF2 after structural relaxation.

Properties
The distance to the lowest polymorph of the same formula comes out at 0.0 meV/atom.

Structure (POSCAR):
```
AgMoOF2
1.0
4.234 0.000 0.000
0.000 4.234 0.000
0.000 0.000 4.159
Ag Mo O F
1 1 1 2
Direct
0.000 0.000 0.000 Ag
0.500 0.500 0.500 Mo
0.500 0.500 0.000 O
0.000 0.500 0.500 F
0.500 0.000 0.500 F
```

(17)
## AgMoPbF6 (GGA+U)

Data for AgMoPbF6 after structural relaxation.

Properties
The raw total energy is -88.19 eV/cell.

Structure (POSCAR):
```
AgMoPbF6
1.0
6.263 0.000 0.000
-3.132 5.424 0.000
0.000 0.000 9.113
Ag Mo Pb F
2 2 2 12
Direct
0.000 0.000 0.000 Ag
0.000 0.000 0.500 Ag
0.333 0.667 0.250 Mo
0.667 0.333 0.750 Mo
0.333 0.667 0.750 Pb
0.667 0.333 0.250 Pb
0.045 0.380 0.129 F
0.045 0.665 0.371 F
0.335 0.380 0.371 F
0.335 0.955 0.129 F
0.380 0.045 0.629 F
0.380 0.335 0.871 F
0.620 0.665 0.129 F
0.620 0.955 0.371 F
0.665 0.045 0.871 F
0.665 0.620 0.629 F
0.955 0.335 0.629 F
0.955 0.620 0.871 F
```

(18)
## AgMo2PbF (GGA+U)

Data for AgMo2PbF after structural relaxation.

Properties
The raw total energy is -20.66 eV/cell.

Structure (POSCAR):
```
AgMo2PbF
1.0
4.737 0.000 0.000
0.000 4.737 0.000
0.000 0.000 4.965
Ag Mo Pb F
1 2 1 1
Direct
0.000 0.000 0.000 Ag
0.000 0.500 0.500 Mo
0.500 0.000 0.500 Mo
0.500 0.500 0.000 Pb
0.000 0.000 0.500 F
```

(19)
## AgMoPdF6 (GGA+U)

Data for AgMoPdF6 after structural relaxation.

Properties
The raw total energy is -83.07 eV/cell.

Structure (POSCAR):
```
AgMoPdF6
1.0
5.812 0.000 0.000
-2.906 5.033 0.000
0.000 0.000 9.228
Ag Mo Pd F
2 2 2 12
Direct
0.333 0.667 0.250 Ag
0.667 0.333 0.750 Ag
0.333 0.667 0.750 Mo
0.667 0.333 0.250 Mo
0.000 0.000 0.000 Pd
0.000 0.000 0.500 Pd
0.043 0.351 0.623 F
0.043 0.692 0.877 F
0.308 0.351 0.877 F
0.308 0.957 0.623 F
0.351 0.043 0.123 F
0.351 0.308 0.377 F
0.649 0.692 0.623 F
0.649 0.957 0.877 F
0.692 0.043 0.377 F
0.692 0.649 0.123 F
0.957 0.308 0.123 F
0.957 0.649 0.377 F
```

(20)
## AgSnMoF2 (GGA+U)

Data for AgSnMoF2 after structural relaxation.

Properties
The raw total energy is -20.41 eV/cell.

Structure (POSCAR):
```
AgSnMoF2
1.0
4.364 0.000 0.000
0.000 4.364 0.000
0.000 0.000 6.138
Ag Sn Mo F
1 1 1 2
Direct
0.000 0.000 0.000 Ag
0.500 0.500 0.500 Sn
0.500 0.500 0.000 Mo
0.000 0.500 0.500 F
0.500 0.000 0.500 F
```